No. 1
A plane-wave DFT calculation with PBE was carried out for crystalline Hg3TeBr2 at its relaxed geometry.

a = 13.1251 Å, b = 8.1603 Å, c = 9.4680 Å
α = 90.00°, β = 110.97°, γ = 90.00°
Space group C2/c (No. 15)
Unique sites:
Hg  0.0000  0.1368  0.2500
Hg  0.1599  0.4613  0.1032
Te  0.0000  0.4684  0.2500
Br  0.1354  0.0683  0.9538

Properties
Calculated volume (Å³/atom): 39.5

***

No. 2
A plane-wave DFT calculation with PBE was carried out for crystalline Hg3Te2Br2 at its relaxed geometry.

a = 9.8864 Å, b = 9.8864 Å, c = 9.8864 Å
α = 90.00°, β = 90.00°, γ = 90.00°
Space group I2_13 (No. 199)
Unique sites:
Hg  0.0000  0.2500  0.3131
Te  0.2270  0.2730  0.7270
Br  0.0053  0.0053  0.0053

Properties
Distance to the lowest polymorph of the same formula (meV per atom): 0
Calculated volume (Å³/atom): 34.5

***

No. 3
A plane-wave DFT calculation with PBE was carried out for crystalline Hg2TeBr3 at its relaxed geometry.

a = 10.1171 Å, b = 12.0326 Å, c = 9.1883 Å
α = 90.00°, β = 110.46°, γ = 90.00°
Space group P2_1/c (No. 14)
Unique sites:
Hg  0.0164  0.2417  0.1694
Hg  0.3715  0.0345  0.4180
Te  0.1628  0.7395  0.1387
Br  0.1374  0.5200  0.6735
Br  0.1996  0.5218  0.1413
Br  0.2805  0.2421  0.8642

Properties
Distance to the lowest polymorph of the same formula (meV per atom): 77
Calculated volume (Å³/atom): 43.7

***

Summary of formation energy from raw total energies in eV/f.u.
-1.221, -2.316, -1.819
(order as listed above)
Summary of spin magnetization in Bohr magnetons per cell
0.00, 0.00, 0.00
(order as listed above)
Summary of electronic total energy in eV/atom
-1.436, -1.836, -1.764
(order as listed above)